# 1
Entry from Alexandria: an optimized crystal structure of Tl3Pb (PBE).

Results
Formation enthalpy at 0 K (eV per atom): 0.00
Energy relative to the lowest polymorph listed for this composition (eV per formula unit): 0.01

abc: 6.5745 6.5745 6.5745
angles: 117.07 117.07 117.07
With the nearest neighbours (Å) after each atom.
Sites, in units of the cell vectors:
Tl1 0.0000 0.5000 0.5000  6 Tl 3.42-3.43, 2 Pb 3.43
Tl2 0.5000 0.0000 0.5000  6 Tl 3.42-3.43, 2 Pb 3.43
Tl3 0.5000 0.5000 0.0000  6 Tl 3.42-3.43, 2 Pb 3.43
Pb1 0.0000 0.0000 0.0000  2 Pb 3.42, 6 Tl 3.43

***

# 2
Entry from Alexandria: an optimized crystal structure of TlPb3 (PBE).

Results
Formation enthalpy at 0 K (eV per atom): 0.01

abc: 3.5008 3.5008 11.8034
angles: 90.00 90.00 120.00
With the nearest neighbours (Å) after each atom.
Sites, in units of the cell vectors:
Tl1 0.0000 0.0000 0.0000  6 Tl 3.50, 6 Pb 3.59
Pb1 0.0000 0.0000 0.5000  12 Pb 3.50-3.57
Pb2 0.3333 0.6667 0.2512  9 Pb 3.50-3.57, 3 Tl 3.59
Pb3 0.3333 0.6667 0.7488  9 Pb 3.50-3.57, 3 Tl 3.59

***

# 3
Entry from Alexandria: an optimized crystal structure of TlPb2 (PBE).

Results
Formation enthalpy at 0 K (eV per atom): 0.03
Energy relative to the lowest polymorph listed for this composition (eV per formula unit): 0.12

abc: 16.2078 16.2078 16.2078
angles: 167.73 167.73 17.38
With the nearest neighbours (Å) after each atom.
Sites, in units of the cell vectors:
Tl1 0.3750 0.6250 0.7500  4 Tl 3.46, 8 Pb 3.56
Tl2 0.6250 0.3750 0.2500  4 Tl 3.46, 8 Pb 3.56
Pb1 0.0442 0.7942 0.2500  6 Pb 3.32-3.46, 4 Tl 3.56
Pb2 0.2058 0.9558 0.2500  6 Pb 3.32-3.46, 4 Tl 3.56
Pb3 0.7942 0.0442 0.7500  6 Pb 3.32-3.46, 4 Tl 3.56
Pb4 0.9558 0.2058 0.7500  6 Pb 3.32-3.46, 4 Tl 3.56

***

# 4
Entry from Alexandria: an optimized crystal structure of Tl6Pb7 (PBE).

Results
Formation enthalpy at 0 K (eV per atom): 0.05

abc: 11.9012 11.9012 11.9012
angles: 32.43 32.43 32.43
With the nearest neighbours (Å) after each atom.
Sites, in units of the cell vectors:
Tl1 0.0478 0.0478 0.0478  2 Tl 3.23-3.53, 6 Pb 3.59
Tl2 0.1521 0.1521 0.1521  1 Tl 3.53, 6 Pb 3.67-3.87
Tl3 0.3345 0.3345 0.3345  6 Pb 3.52-3.57, 3 Tl 3.84
Tl4 0.6656 0.6656 0.6656  6 Pb 3.52-3.57, 3 Tl 3.84
Tl5 0.8479 0.8479 0.8479  1 Tl 3.53, 6 Pb 3.67-3.87
Tl6 0.9522 0.9522 0.9522  2 Tl 3.23-3.53, 6 Pb 3.59
Pb1 0.0849 0.5899 0.5899  5 Pb 3.28-3.36, 5 Tl 3.52-3.67
Pb2 0.4101 0.4101 0.9151  5 Pb 3.28-3.36, 5 Tl 3.52-3.67
Pb3 0.4101 0.9151 0.4101  5 Pb 3.28-3.36, 5 Tl 3.52-3.67
Pb4 0.5000 0.5000 0.5000  6 Pb 3.28
Pb5 0.5899 0.0849 0.5899  5 Pb 3.28-3.36, 5 Tl 3.52-3.67
Pb6 0.5899 0.5899 0.0849  5 Pb 3.28-3.36, 5 Tl 3.52-3.67
Pb7 0.9151 0.4101 0.4101  5 Pb 3.28-3.36, 5 Tl 3.52-3.67

***

# 5
Entry from Alexandria: an optimized crystal structure of Tl2Pb (PBE).

Results
Formation enthalpy at 0 K (eV per atom): 0.20
Energy relative to the lowest polymorph listed for this composition (eV per formula unit): 0.60

abc: 7.5906 7.5906 7.5906
angles: 90.00 90.00 90.00
With the nearest neighbours (Å) after each atom.
Sites, in units of the cell vectors:
Tl1 0.1271 0.1271 0.1271  3 Pb 3.14, 1 Tl 3.34
Tl2 0.1271 0.3729 0.6271  3 Pb 3.14, 1 Tl 3.34
Tl3 0.3729 0.6271 0.1271  3 Pb 3.14, 1 Tl 3.34
Tl4 0.3729 0.8729 0.6271  3 Pb 3.14, 1 Tl 3.34
Tl5 0.6271 0.1271 0.3729  3 Pb 3.14, 1 Tl 3.34
Tl6 0.6271 0.3729 0.8729  3 Pb 3.14, 1 Tl 3.34
Tl7 0.8729 0.6271 0.3729  3 Pb 3.14, 1 Tl 3.34
Tl8 0.8729 0.8729 0.8729  3 Pb 3.14, 1 Tl 3.34
Pb1 0.0000 0.0000 0.5000  6 Tl 3.14
Pb2 0.0000 0.5000 0.0000  6 Tl 3.14
Pb3 0.5000 0.0000 0.0000  6 Tl 3.14
Pb4 0.5000 0.5000 0.5000  6 Tl 3.14

***

# 6
Entry from Alexandria: an optimized crystal structure of Tl7Pb3 (PBE).

Results
Formation enthalpy at 0 K (eV per atom): 0.05
Energy relative to the lowest polymorph listed for this composition (eV per formula unit): 0.52

abc: 9.6897 9.6897 8.2659
angles: 90.00 90.00 120.00
With the nearest neighbours (Å) after each atom.
Sites, in units of the cell vectors:
Tl1 0.0844 0.5422 0.0000  4 Pb 3.35-3.40, 3 Tl 3.43-3.62
Tl2 0.1278 0.2555 0.7018  3 Pb 3.34-3.41, 3 Tl 3.46-3.71
Tl3 0.1278 0.8722 0.7018  3 Pb 3.34-3.41, 3 Tl 3.46-3.71
Tl4 0.2555 0.1278 0.2018  3 Pb 3.34-3.41, 3 Tl 3.46-3.71
Tl5 0.3333 0.6667 0.6716  9 Tl 3.43-3.78, 3 Pb 3.43
Tl6 0.4578 0.5422 0.0000  4 Pb 3.35-3.40, 3 Tl 3.43-3.62
Tl7 0.4578 0.9156 0.0000  4 Pb 3.35-3.40, 3 Tl 3.43-3.62
Tl8 0.5422 0.0844 0.5000  4 Pb 3.35-3.40, 3 Tl 3.43-3.62
Tl9 0.5422 0.4578 0.5000  4 Pb 3.35-3.40, 3 Tl 3.43-3.62
Tl10 0.6667 0.3333 0.1716  9 Tl 3.43-3.78, 3 Pb 3.43
Tl11 0.7445 0.8722 0.7018  3 Pb 3.34-3.41, 3 Tl 3.46-3.71
Tl12 0.8722 0.1278 0.2018  3 Pb 3.34-3.41, 3 Tl 3.46-3.71
Tl13 0.8722 0.7445 0.2018  3 Pb 3.34-3.41, 3 Tl 3.46-3.71
Tl14 0.9156 0.4578 0.5000  4 Pb 3.35-3.40, 3 Tl 3.43-3.62
Pb1 0.2168 0.4335 0.3303  8 Tl 3.34-3.43, 2 Pb 3.39
Pb2 0.2168 0.7832 0.3303  8 Tl 3.34-3.43, 2 Pb 3.39
Pb3 0.4335 0.2168 0.8303  8 Tl 3.34-3.43, 2 Pb 3.39
Pb4 0.5665 0.7832 0.3303  8 Tl 3.34-3.43, 2 Pb 3.39
Pb5 0.7832 0.2168 0.8303  8 Tl 3.34-3.43, 2 Pb 3.39
Pb6 0.7832 0.5665 0.8303  8 Tl 3.34-3.43, 2 Pb 3.39

***

# 7
Entry from Alexandria: an optimized crystal structure of TlPb2 (PBE).

Results
Formation enthalpy at 0 K (eV per atom): -0.01
Energy relative to the lowest polymorph listed for this composition (eV per formula unit): 0.01

abc: 7.9423 7.9423 7.9423
angles: 154.30 154.30 36.66
With the nearest neighbours (Å) after each atom.
Sites, in units of the cell vectors:
Tl1 0.0000 0.0000 0.0000  4 Tl 3.53, 8 Pb 3.56
Pb1 0.3314 0.3314 0.0000  8 Pb 3.50-3.53, 4 Tl 3.56
Pb2 0.6686 0.6686 0.0000  8 Pb 3.50-3.53, 4 Tl 3.56

***

# 8
Entry from Alexandria: an optimized crystal structure of TlPb5 (PBE).

Results
Formation enthalpy at 0 K (eV per atom): 0.01
Energy relative to the lowest polymorph listed for this composition (eV per formula unit): 0.15

abc: 3.5037 3.5037 17.6774
angles: 90.00 90.00 120.00
With the nearest neighbours (Å) after each atom.
Sites, in units of the cell vectors:
Tl1 0.0000 0.0000 0.0000  6 Tl 3.50, 6 Pb 3.56
Pb1 0.0000 0.0000 0.3323  12 Pb 3.50-3.59
Pb2 0.0000 0.0000 0.6677  12 Pb 3.50-3.59
Pb3 0.6667 0.3333 0.1660  9 Pb 3.50-3.57, 3 Tl 3.56
Pb4 0.6667 0.3333 0.5000  12 Pb 3.50-3.59
Pb5 0.6667 0.3333 0.8340  9 Pb 3.50-3.57, 3 Tl 3.56